Si3BiBr | Alexandria via LeMat-Bulk | PBEsol | optimized geometry; symmetry = Pm-3m; ΔE_f (raw) = 33.401 kcal/mol of atoms; E_tot = -16.15 eV/cell; V = 31.94 Å³ per atom
1.0
5.426 0.000 0.000
0.000 5.426 0.000
0.000 0.000 5.426
Si Bi Br
3 1 1
Direct
0.000 0.000 0.500
0.000 0.500 0.000
0.500 0.000 0.000
0.000 0.000 0.000
0.500 0.500 0.500